## a
## Li6Mn5FeB6O18 (GGA+U)

Data for a relaxed Li6Mn5FeB6O18 crystal.

## Properties
Density of states at the Fermi level = 0.0 states/eV/f.u.

Unit cell a=8.856 b=8.856 c=8.251 alpha=117.76 beta=117.76 gamma=42.10
Element x y z (fractional)
Li: 0.092 0.594 0.267
Li: 0.249 0.751 0.000
Li: 0.384 0.883 0.582
Li: 0.594 0.092 0.267
Li: 0.751 0.249 0.000
Li: 0.883 0.384 0.582
Mn: 0.179 0.179 0.295
Mn: 0.312 0.312 0.911
Mn: 0.486 0.486 0.644
Mn: 0.678 0.678 0.294
Mn: 0.987 0.987 0.646
Fe: 0.812 0.812 0.916
B: 0.074 0.577 0.618
B: 0.412 0.907 0.950
B: 0.492 0.492 0.283
B: 0.577 0.074 0.618
B: 0.907 0.412 0.950
B: 0.993 0.993 0.281
O: 0.033 0.033 0.169
O: 0.048 0.048 0.475
O: 0.114 0.618 0.812
O: 0.131 0.632 0.536
O: 0.313 0.812 0.845
O: 0.395 0.395 0.205
O: 0.454 0.953 0.144
O: 0.466 0.958 0.862
O: 0.479 0.978 0.505
O: 0.531 0.531 0.168
O: 0.550 0.550 0.477
O: 0.618 0.114 0.812
O: 0.632 0.131 0.536
O: 0.812 0.313 0.845
O: 0.895 0.895 0.199
O: 0.953 0.454 0.144
O: 0.958 0.466 0.862
O: 0.978 0.479 0.505


## b
## Li6Mn5FeB6O18 (GGA+U)

Data for a relaxed Li6Mn5FeB6O18 crystal.

## Properties
Density of states at the Fermi level = 0.0 states/eV/f.u.

Unit cell a=8.217 b=6.287 c=8.223 alpha=90.00 beta=119.84 gamma=90.00
Element x y z (fractional)
Li: 0.000 0.247 0.000
Li: 0.000 0.753 0.000
Li: 0.318 0.248 0.573
Li: 0.318 0.752 0.573
Li: 0.740 0.250 0.315
Li: 0.740 0.750 0.315
Mn: 0.032 0.000 0.669
Mn: 0.032 0.500 0.668
Mn: 0.393 0.000 0.283
Mn: 0.637 0.000 0.930
Mn: 0.641 0.500 0.932
Fe: 0.382 0.500 0.283
B: 0.016 0.000 0.293
B: 0.021 0.500 0.295
B: 0.356 0.249 0.967
B: 0.356 0.751 0.967
B: 0.685 0.248 0.632
B: 0.685 0.752 0.632
O: 0.211 0.000 0.403
O: 0.215 0.500 0.410
O: 0.244 0.250 0.773
O: 0.244 0.750 0.773
O: 0.274 0.246 0.081
O: 0.274 0.754 0.081
O: 0.551 0.251 0.049
O: 0.551 0.749 0.049
O: 0.576 0.248 0.437
O: 0.576 0.752 0.437
O: 0.599 0.249 0.740
O: 0.599 0.751 0.740
O: 0.879 0.250 0.717
O: 0.879 0.750 0.717
O: 0.906 0.000 0.379
O: 0.907 0.500 0.377
O: 0.929 0.000 0.098
O: 0.940 0.500 0.102


Relative energy table, unit meV/atom: a 0; b 191


## a
## Li2FeB2O6 (GGA+U)

Data for a relaxed Li2FeB2O6 crystal.

## Properties
Density of states at the Fermi level = 3.8 states/eV/f.u.

Unit cell a=5.884 b=5.884 c=5.884 alpha=47.56 beta=47.56 gamma=47.56
Element x y z (fractional)
Li: 0.192 0.192 0.192
Li: 0.808 0.808 0.808
Fe: 0.000 0.000 0.000
B: 0.410 0.410 0.410
B: 0.590 0.590 0.590
O: 0.138 0.382 0.717
O: 0.283 0.862 0.618
O: 0.382 0.717 0.138
O: 0.618 0.283 0.862
O: 0.717 0.138 0.382
O: 0.862 0.618 0.283


## b
## Li2FeB2O6 (GGA+U)

Data for a relaxed Li2FeB2O6 crystal.

Unit cell a=5.490 b=7.722 c=5.924 alpha=90.00 beta=119.41 gamma=90.00
Element x y z (fractional)
Li: 0.111 0.066 0.300
Li: 0.111 0.434 0.800
Li: 0.889 0.566 0.200
Li: 0.889 0.934 0.700
Fe: 0.500 0.000 0.000
Fe: 0.500 0.500 0.500
B: 0.377 0.743 0.133
B: 0.377 0.757 0.633
B: 0.623 0.243 0.367
B: 0.623 0.257 0.867
O: 0.229 0.603 0.585
O: 0.229 0.897 0.085
O: 0.272 0.585 0.158
O: 0.272 0.915 0.658
O: 0.385 0.237 0.890
O: 0.385 0.263 0.390
O: 0.615 0.737 0.610
O: 0.615 0.763 0.110
O: 0.728 0.085 0.342
O: 0.728 0.415 0.842
O: 0.771 0.103 0.915
O: 0.771 0.397 0.415


Relative energy table, unit meV/atom: a 0; b 77


## a
## Li3FeB2O6 (GGA+U)

Data for a relaxed Li3FeB2O6 crystal.

## Properties
Density of states at the Fermi level = 0.0 states/eV/f.u.

Unit cell a=5.030 b=6.420 c=8.078 alpha=73.62 beta=89.27 gamma=89.29
Element x y z (fractional)
Li: 0.171 0.259 0.387
Li: 0.178 0.963 0.737
Li: 0.321 0.095 0.073
Li: 0.679 0.905 0.927
Li: 0.822 0.037 0.263
Li: 0.829 0.741 0.613
Fe: 0.350 0.443 0.727
Fe: 0.650 0.557 0.273
B: 0.165 0.681 0.088
B: 0.337 0.831 0.429
B: 0.663 0.169 0.571
B: 0.835 0.319 0.912
O: 0.113 0.321 0.908
O: 0.207 0.994 0.315
O: 0.220 0.719 0.588
O: 0.294 0.519 0.218
O: 0.301 0.837 0.970
O: 0.396 0.228 0.600
O: 0.604 0.772 0.400
O: 0.699 0.163 0.030
O: 0.706 0.481 0.782
O: 0.780 0.281 0.412
O: 0.793 0.006 0.685
O: 0.887 0.679 0.092


## b
## Li3FeB2O6 (GGA+U)

Data for a relaxed Li3FeB2O6 crystal.

## Properties
Density of states at the Fermi level = 0.0 states/eV/f.u.

Unit cell a=5.161 b=7.116 c=8.007 alpha=72.24 beta=85.99 gamma=87.77
Element x y z (fractional)
Li: 0.004 0.307 0.255
Li: 0.244 0.367 0.767
Li: 0.330 0.601 0.387
Li: 0.670 0.399 0.613
Li: 0.756 0.633 0.233
Li: 0.996 0.693 0.745
Fe: 0.449 0.977 0.809
Fe: 0.551 0.023 0.191
B: 0.234 0.730 0.065
B: 0.454 0.242 0.435
B: 0.546 0.758 0.565
B: 0.766 0.270 0.935
O: 0.116 0.592 0.201
O: 0.140 0.819 0.901
O: 0.338 0.155 0.325
O: 0.353 0.623 0.621
O: 0.355 0.202 0.610
O: 0.483 0.807 0.078
O: 0.517 0.193 0.922
O: 0.645 0.798 0.390
O: 0.647 0.377 0.379
O: 0.662 0.845 0.675
O: 0.860 0.181 0.099
O: 0.884 0.408 0.799


Relative energy table, unit meV/atom: a 0; b 74


## a
## Li2FeBO4 (GGA+U)

Data for a relaxed Li2FeBO4 crystal.

## Properties
Density of states at the Fermi level = 0.0 states/eV/f.u.

Unit cell a=4.805 b=5.116 c=7.822 alpha=90.00 beta=127.68 gamma=90.00
Element x y z (fractional)
Li: 0.000 0.151 0.000
Li: 0.000 0.849 0.500
Li: 0.750 0.313 0.247
Li: 0.750 0.687 0.747
Fe: 0.258 0.322 0.754
Fe: 0.258 0.678 0.254
B: 0.510 0.180 0.500
B: 0.510 0.820 0.000
O: 0.211 0.320 0.300
O: 0.211 0.680 0.800
O: 0.409 0.100 0.992
O: 0.409 0.900 0.492
O: 0.599 0.307 0.701
O: 0.599 0.693 0.201
O: 0.827 0.194 0.506
O: 0.827 0.806 0.006


## b
## Li2FeBO4 (GGA+U)

Data for a relaxed Li2FeBO4 crystal.

## Properties
Density of states at the Fermi level = 0.0 states/eV/f.u.

Unit cell a=5.036 b=5.036 c=6.175 alpha=90.00 beta=90.00 gamma=92.13
Element x y z (fractional)
Li: 0.195 0.805 0.750
Li: 0.326 0.326 0.000
Li: 0.674 0.674 0.500
Li: 0.805 0.195 0.250
Fe: 0.185 0.815 0.250
Fe: 0.815 0.185 0.750
B: 0.319 0.319 0.500
B: 0.681 0.681 0.000
O: 0.192 0.206 0.700
O: 0.206 0.192 0.300
O: 0.281 0.613 0.493
O: 0.387 0.719 0.007
O: 0.613 0.281 0.507
O: 0.719 0.387 0.993
O: 0.794 0.808 0.800
O: 0.808 0.794 0.200


Relative energy table, unit meV/atom: a 0; b 8